This record from the Alexandria database describes an optimized crystal structure of Mg2ZrCl2. The functional is PBE.

Computed properties:
energy above the most stable polymorph in this dataset: 0.0 kJ/mol of atoms
crystal system: tetragonal
formation energy from raw total energies: -0.213 eV/atom

abc: 4.2183 4.2183 7.2401
angles: 73.06 73.06 90.00
Closest atoms and distances in Å follow each position.
Sites, in units of the cell vectors:
Mg 0.3734 0.3734 0.2532  4 Cl 2.66
Mg 0.6266 0.6266 0.7468  4 Cl 2.66
Zr 0.0000 0.0000 0.0000  8 Mg 3.42
Cl 0.7500 0.2500 0.5000  4 Mg 2.66, 4 Cl 2.98
Cl 0.2500 0.7500 0.5000  4 Mg 2.66, 4 Cl 2.98

***

This record from the Alexandria database describes an optimized crystal structure of PrPd6Au12. The functional is PBE.

Computed properties:
crystal system: trigonal
uncorrected energy: -75.98 eV per cell

abc: 7.5859 7.5859 7.5859
angles: 105.80 105.80 105.80
Closest atoms and distances in Å follow each position.
Sites, in units of the cell vectors:
Pr 0.0000 0.0000 0.0000  6 Au 3.03
Pd 0.6852 0.2992 0.2992  8 Au 2.74-2.95, 2 Pd 2.98
Pd 0.2992 0.2992 0.6852  8 Au 2.74-2.95, 2 Pd 2.98
Pd 0.2992 0.6852 0.2992  8 Au 2.74-2.95, 2 Pd 2.98
Pd 0.7008 0.7008 0.3148  8 Au 2.74-2.95, 2 Pd 2.98
Pd 0.3148 0.7008 0.7008  8 Au 2.74-2.95, 2 Pd 2.98
Pd 0.7008 0.3148 0.7008  8 Au 2.74-2.95, 2 Pd 2.98
Au 0.8857 0.1143 0.5000  3 Au 2.77, 4 Pd 2.77-2.81
Au 0.8978 0.6398 0.6398  4 Pd 2.74-2.95, 2 Au 2.77, 1 Pr 3.03
Au 0.6398 0.6398 0.8978  4 Pd 2.74-2.95, 2 Au 2.77, 1 Pr 3.03
Au 0.3602 0.1022 0.3602  4 Pd 2.74-2.95, 2 Au 2.77, 1 Pr 3.03
Au 0.3602 0.3602 0.1022  4 Pd 2.74-2.95, 2 Au 2.77, 1 Pr 3.03
Au 0.1022 0.3602 0.3602  4 Pd 2.74-2.95, 2 Au 2.77, 1 Pr 3.03
Au 0.1143 0.5000 0.8857  3 Au 2.77, 4 Pd 2.77-2.81
Au 0.5000 0.8857 0.1143  3 Au 2.77, 4 Pd 2.77-2.81
Au 0.1143 0.8857 0.5000  3 Au 2.77, 4 Pd 2.77-2.81
Au 0.8857 0.5000 0.1143  3 Au 2.77, 4 Pd 2.77-2.81
Au 0.5000 0.1143 0.8857  3 Au 2.77, 4 Pd 2.77-2.81
Au 0.6398 0.8978 0.6398  4 Pd 2.74-2.95, 2 Au 2.77, 1 Pr 3.03